Below is a relaxed TlFe2PtF crystal, with properties calculated at the GGA+U level.

Calculated values
Total DFT energy (no corrections) = -4.377 eV per atom
Density = 10.1 g/cm3
M_tot = 7.351 μB/cell
Crystal system = tetragonal
D(E_F) = 0.29 states/eV per atom
Space-group type = P4/mmm, No. 123

Cell lengths 4.177, 4.177, 4.983 Å; angles 90.00, 90.00, 90.00 degrees
Fractional coordinates of all 5 atoms:
Tl (0.000, 0.000, 0.000)
Fe (0.000, 0.500, 0.500)
Fe (0.500, 0.000, 0.500)
Pt (0.500, 0.500, 0.000)
F (0.000, 0.000, 0.500)